(1)
{"formula": "PmHo2Tc", "functional": "PBE", "state": "optimized geometry", "formation_energy_ev_per_atom": -0.079, "relative_energy_ev_per_atom": 0.0009, "total_energy_ev_per_cell": -98.34, "lattice": [[3.9291, 0.0000, 0.0000], [0.0000, 12.0886, 0.0000], [0.0000, 0.0000, 9.1831]], "species": ["Pm", "Pm", "Pm", "Pm", "Ho", "Ho", "Ho", "Ho", "Ho", "Ho", "Ho", "Ho", "Tc", "Tc", "Tc", "Tc"], "frac_coords": [[0.0000, 0.0713, 0.2500], [0.0000, 0.9287, 0.7500], [0.5000, 0.4287, 0.7500], [0.5000, 0.5713, 0.2500], [0.0000, 0.3526, 0.0678], [0.0000, 0.3526, 0.4322], [0.0000, 0.6474, 0.5678], [0.0000, 0.6474, 0.9322], [0.5000, 0.1474, 0.5678], [0.5000, 0.1474, 0.9322], [0.5000, 0.8526, 0.0678], [0.5000, 0.8526, 0.4322], [0.0000, 0.2608, 0.7500], [0.0000, 0.7392, 0.2500], [0.5000, 0.2392, 0.2500], [0.5000, 0.7608, 0.7500]]}

(2)
{"formula": "Pm2HoTc9", "functional": "PBE", "state": "optimized geometry", "formation_energy_ev_per_atom": 0.026, "total_energy_ev_per_cell": -107.06, "lattice": [[4.8007, -2.6420, 0.0000], [4.8007, 2.6420, 0.0000], [-3.6722, 0.0000, 8.7182]], "species": ["Pm", "Pm", "Ho", "Tc", "Tc", "Tc", "Tc", "Tc", "Tc", "Tc", "Tc", "Tc"], "frac_coords": [[0.1421, 0.1421, 0.4297], [0.8579, 0.8579, 0.5703], [0.0000, 0.0000, 0.0000], [0.0735, 0.5815, 0.2500], [0.3146, 0.3146, 0.0099], [0.4185, 0.9265, 0.7500], [0.4225, 0.4225, 0.7689], [0.5000, 0.5000, 0.5000], [0.5775, 0.5775, 0.2311], [0.5815, 0.0735, 0.2500], [0.6854, 0.6854, 0.9901], [0.9265, 0.4185, 0.7500]]}

(3)
{"formula": "PmHo2Tc", "functional": "PBE", "state": "optimized geometry", "formation_energy_ev_per_atom": 0.003, "relative_energy_ev_per_atom": 0.0824, "total_energy_ev_per_cell": -24.26, "lattice": [[3.4440, 0.0000, 0.0000], [0.0000, 3.4440, 0.0000], [0.0000, 0.0000, 9.0608]], "species": ["Pm", "Ho", "Ho", "Tc"], "frac_coords": [[0.0000, 0.0000, 0.0000], [0.5000, 0.5000, 0.3188], [0.5000, 0.5000, 0.6812], [0.0000, 0.0000, 0.5000]]}

(4)
{"formula": "PmHoZnTc", "functional": "PBE", "state": "optimized geometry", "formation_energy_ev_per_atom": -0.098, "total_energy_ev_per_cell": -85.44, "lattice": [[7.0399, 0.0000, 0.0000], [0.0000, 7.0399, 0.0000], [0.0000, 0.0000, 7.0399]], "species": ["Pm", "Pm", "Pm", "Pm", "Ho", "Ho", "Ho", "Ho", "Zn", "Zn", "Zn", "Zn", "Tc", "Tc", "Tc", "Tc"], "frac_coords": [[0.0000, 0.0000, 0.0000], [0.0000, 0.5000, 0.5000], [0.5000, 0.0000, 0.5000], [0.5000, 0.5000, 0.0000], [0.0000, 0.0000, 0.5000], [0.0000, 0.5000, 0.0000], [0.5000, 0.0000, 0.0000], [0.5000, 0.5000, 0.5000], [0.2500, 0.2500, 0.7500], [0.2500, 0.7500, 0.2500], [0.7500, 0.2500, 0.2500], [0.7500, 0.7500, 0.7500], [0.2500, 0.2500, 0.2500], [0.2500, 0.7500, 0.7500], [0.7500, 0.2500, 0.7500], [0.7500, 0.7500, 0.2500]]}